Here is a relaxed structure of CsSbS6O18F6 from the Alexandria database. Energies are from PBEsol.

a = 7.9888 Å, b = 7.9888 Å, c = 7.9888 Å
α = 97.65°, β = 97.65°, γ = 97.65°
Fractional positions:
Cs1 0.0000 0.0000 0.0000
Sb1 0.5000 0.5000 0.5000
S1 0.7357 0.8524 0.4516
S2 0.1476 0.5484 0.2643
S3 0.8524 0.4516 0.7357
S4 0.5484 0.2643 0.1476
S5 0.2643 0.1476 0.5484
S6 0.4516 0.7357 0.8524
O1 0.6544 0.4286 0.6877
O2 0.5714 0.3123 0.3456
O3 0.8878 0.3455 0.8609
O4 0.7546 0.9290 0.6255
O5 0.9290 0.6255 0.7546
O6 0.4286 0.6877 0.6544
O7 0.2454 0.0710 0.3745
O8 0.1122 0.6545 0.1391
O9 0.3456 0.5714 0.3123
O10 0.8609 0.8878 0.3455
O11 0.3455 0.8609 0.8878
O12 0.6877 0.6544 0.4286
O13 0.6255 0.7546 0.9290
O14 0.3745 0.2454 0.0710
O15 0.6545 0.1391 0.1122
O16 0.0710 0.3745 0.2454
O17 0.1391 0.1122 0.6545
O18 0.3123 0.3456 0.5714
F1 0.4365 0.1017 0.6387
F2 0.3613 0.5635 0.8983
F3 0.8983 0.3613 0.5635
F4 0.6387 0.4365 0.1017
F5 0.5635 0.8983 0.3613
F6 0.1017 0.6387 0.4365

Properties
Spin magnetization ... 0.00 μB/cell
Calculated volume ... 494.87 Å³ per cell
Raw formation energy ... -1503.8 meV/atom
Energy ... -5.81 eV/atom